Record 1
Material: Ag3OsRh
Method: DFT, PBE-GGA
State: relaxed

Output
V: 25.03 Å³ per atom
Total DFT energy (no corrections): -3.47 eV/atom
Energy of formation: 1.959 eV/atom
D(E_F): 2.580 states/eV per atom
Energy above the most stable polymorph in this dataset: 0 meV per atom

Lattice parameters (Å, degrees): 5.0017 5.0017 5.0017 90.00 90.00 90.00
Fractional positions:
Ag 0.0000 0.0000 0.5000
Ag 0.0000 0.5000 0.0000
Ag 0.5000 0.0000 0.0000
Os 0.0000 0.0000 0.0000
Rh 0.5000 0.5000 0.5000


Record 2
Material: AgOsRh2
Method: DFT, PBE-GGA
State: relaxed

Output
V: 17.11 Å³ per atom
Total DFT energy (no corrections): -6.41 eV/atom
Energy of formation: 0.784 eV/atom
D(E_F): 1.381 states/eV per atom
Energy above the most stable polymorph in this dataset: 665 meV per atom

Lattice parameters (Å, degrees): 7.0958 7.0958 5.4367 90.00 90.00 90.00
Fractional positions:
Ag 0.0000 0.0000 0.0000
Ag 0.0000 0.5000 0.2500
Ag 0.5000 0.0000 0.7500
Ag 0.5000 0.5000 0.5000
Os 0.0000 0.0000 0.5000
Os 0.0000 0.5000 0.7500
Os 0.5000 0.0000 0.2500
Os 0.5000 0.5000 0.0000
Rh 0.2110 0.2500 0.6250
Rh 0.2500 0.7110 0.8750
Rh 0.2500 0.7890 0.3750
Rh 0.2890 0.2500 0.1250
Rh 0.7110 0.7500 0.1250
Rh 0.7500 0.2110 0.3750
Rh 0.7500 0.2890 0.8750
Rh 0.7890 0.7500 0.6250


Record 3
Material: AgOs2Rh
Method: DFT, PBE-GGA
State: relaxed

Output
V: 15.09 Å³ per atom
Total DFT energy (no corrections): -7.92 eV/atom
Energy of formation: 0.248 eV/atom
D(E_F): 1.162 states/eV per atom
Energy above the most stable polymorph in this dataset: 0 meV per atom

Lattice parameters (Å, degrees): 2.7578 2.7578 27.4884 90.00 90.00 120.00
Fractional positions:
Ag 0.0000 0.0000 0.0000
Ag 0.3333 0.6667 0.6667
Ag 0.6667 0.3333 0.3333
Os 0.0000 0.0000 0.4997
Os 0.0000 0.0000 0.7567
Os 0.3333 0.6667 0.1664
Os 0.3333 0.6667 0.4233
Os 0.6667 0.3333 0.0900
Os 0.6667 0.3333 0.8331
Rh 0.0000 0.0000 0.2461
Rh 0.3333 0.6667 0.9128
Rh 0.6667 0.3333 0.5794


Record 4
Material: AgOsRh2
Method: DFT, PBE-GGA
State: relaxed

Output
V: 15.34 Å³ per atom
Total DFT energy (no corrections): -6.64 eV/atom
Energy of formation: 0.560 eV/atom
D(E_F): 0.856 states/eV per atom
Energy above the most stable polymorph in this dataset: 441 meV per atom

Lattice parameters (Å, degrees): 6.2608 6.2608 6.2608 90.00 90.00 90.00
Fractional positions:
Ag 0.0000 0.0000 0.0000
Ag 0.0000 0.5000 0.5000
Ag 0.5000 0.0000 0.5000
Ag 0.5000 0.5000 0.0000
Os 0.0000 0.0000 0.5000
Os 0.0000 0.5000 0.0000
Os 0.5000 0.0000 0.0000
Os 0.5000 0.5000 0.5000
Rh 0.2500 0.2500 0.2500
Rh 0.2500 0.2500 0.7500
Rh 0.2500 0.7500 0.2500
Rh 0.2500 0.7500 0.7500
Rh 0.7500 0.2500 0.2500
Rh 0.7500 0.2500 0.7500
Rh 0.7500 0.7500 0.2500
Rh 0.7500 0.7500 0.7500


Record 5
Material: AgOs2Rh
Method: DFT, PBE-GGA
State: relaxed

Output
V: 15.06 Å³ per atom
Total DFT energy (no corrections): -7.63 eV/atom
Energy of formation: 0.536 eV/atom
D(E_F): 1.069 states/eV per atom
Energy above the most stable polymorph in this dataset: 289 meV per atom

Lattice parameters (Å, degrees): 2.7033 2.7033 8.2418 90.00 90.00 90.00
Fractional positions:
Ag 0.0000 0.0000 0.0000
Os 0.5000 0.5000 0.2669
Os 0.5000 0.5000 0.7331
Rh 0.0000 0.0000 0.5000


Record 6
Material: AgOsRh2
Method: DFT, PBE-GGA
State: relaxed

Output
V: 15.22 Å³ per atom
Total DFT energy (no corrections): -6.58 eV/atom
Energy of formation: 0.612 eV/atom
D(E_F): 1.261 states/eV per atom
Energy above the most stable polymorph in this dataset: 493 meV per atom

Lattice parameters (Å, degrees): 2.7328 4.6660 4.7750 90.00 90.00 90.00
Fractional positions:
Ag 0.0000 0.0000 0.0000
Os 0.5000 0.0000 0.5000
Rh 0.0000 0.5000 0.5000
Rh 0.5000 0.5000 0.0000


Record 7
Material: AgOsRh2
Method: DFT, PBE-GGA
State: relaxed

Output
V: 14.99 Å³ per atom
Total DFT energy (no corrections): -6.94 eV/atom
Energy of formation: 0.255 eV/atom
D(E_F): 1.036 states/eV per atom
Energy above the most stable polymorph in this dataset: 136 meV per atom

Lattice parameters (Å, degrees): 2.7608 3.7966 5.7218 90.00 90.00 90.00
Fractional positions:
Ag 0.0000 0.0000 0.0000
Os 0.0000 0.0000 0.5000
Rh 0.5000 0.5000 0.2695
Rh 0.5000 0.5000 0.7305


Record 8
Material: AgOs2Rh
Method: DFT, PBE-GGA
State: relaxed

Output
V: 15.26 Å³ per atom
Total DFT energy (no corrections): -7.42 eV/atom
Energy of formation: 0.750 eV/atom
D(E_F): 0.888 states/eV per atom
Energy above the most stable polymorph in this dataset: 503 meV per atom

Lattice parameters (Å, degrees): 6.2505 6.2505 6.2505 90.00 90.00 90.00
Fractional positions:
Ag 0.0000 0.0000 0.0000
Ag 0.0000 0.5000 0.5000
Ag 0.5000 0.0000 0.5000
Ag 0.5000 0.5000 0.0000
Os 0.0000 0.0000 0.5000
Os 0.0000 0.5000 0.0000
Os 0.2500 0.2500 0.7500
Os 0.2500 0.7500 0.2500
Os 0.5000 0.0000 0.0000
Os 0.5000 0.5000 0.5000
Os 0.7500 0.2500 0.2500
Os 0.7500 0.7500 0.7500
Rh 0.2500 0.2500 0.2500
Rh 0.2500 0.7500 0.7500
Rh 0.7500 0.2500 0.7500
Rh 0.7500 0.7500 0.2500


Record 9
Material: AgOs2Rh
Method: DFT, PBE-GGA
State: relaxed

Output
V: 14.85 Å³ per atom
Total DFT energy (no corrections): -7.60 eV/atom
Energy of formation: 0.567 eV/atom
D(E_F): 1.262 states/eV per atom
Energy above the most stable polymorph in this dataset: 319 meV per atom

Lattice parameters (Å, degrees): 3.9053 3.9053 7.7917 90.00 90.00 90.00
Fractional positions:
Ag 0.0000 0.0000 0.0000
Ag 0.5000 0.5000 0.5000
Os 0.0000 0.0000 0.5000
Os 0.0000 0.5000 0.7500
Os 0.5000 0.0000 0.2500
Os 0.5000 0.5000 0.0000
Rh 0.0000 0.5000 0.2500
Rh 0.5000 0.0000 0.7500


Record 10
Material: AgOs2Rh
Method: DFT, PBE-GGA
State: relaxed

Output
V: 15.00 Å³ per atom
Total DFT energy (no corrections): -7.71 eV/atom
Energy of formation: 0.453 eV/atom
D(E_F): 1.080 states/eV per atom
Energy above the most stable polymorph in this dataset: 205 meV per atom

Lattice parameters (Å, degrees): 9.1500 2.7238 4.8816 90.00 99.41 90.00
Fractional positions:
Ag 0.0000 0.0000 0.0000
Ag 0.5000 0.5000 0.0000
Os 0.2409 0.0000 0.7070
Os 0.4974 0.0000 0.5081
Os 0.7409 0.5000 0.7070
Os 0.9974 0.5000 0.5081
Rh 0.2563 0.5000 0.2407
Rh 0.7563 0.0000 0.2407